Computed, not measured: a relaxed structure of Er7OsS5 at the PBE-GGA level of DFT.

Computed properties:
N(E_F), states/eV/cell: 10.6
Energy relative to the elements, uncorrected, eV per atom: -1.57
SG: No. 36
V, Å³/cell: 569
Magnetization, μB per formula unit: 0.00

Cell: 6.6645 6.6645 23.3831 Å, 90.00 90.00 146.78°
Last column: nearest neighbours and their distance in Å.
Element x y z (fractional)
Er  0.0360  0.9640  0.5000  2 Os 2.77, 2 S 2.79-2.83
Er  0.1295  0.8705  0.2178  6 S 2.69-2.73
Er  0.1477  0.8523  0.7891  6 S 2.68-2.75
Er  0.2933  0.7067  0.4316  3 S 2.72-2.82, 2 Os 2.95
Er  0.3135  0.6865  0.5720  3 S 2.75-2.82, 2 Os 2.84
Er  0.3930  0.6070  0.1289  4 S 2.72-2.78, 1 Os 2.97
Er  0.4189  0.5811  0.8614  5 S 2.72-2.85
Er  0.5811  0.4189  0.3614  5 S 2.72-2.85
Er  0.6070  0.3930  0.6289  4 S 2.72-2.78, 1 Os 2.97
Er  0.6865  0.3135  0.0720  3 S 2.75-2.82, 2 Os 2.84
Er  0.7067  0.2933  0.9316  3 S 2.72-2.82, 2 Os 2.95
Er  0.8523  0.1477  0.2891  6 S 2.68-2.75
Er  0.8705  0.1295  0.7178  6 S 2.69-2.73
Er  0.9640  0.0360  0.0000  2 Os 2.77, 2 S 2.79-2.83
Os  0.3078  0.6922  0.0107  7 Er 2.77-2.97
Os  0.6922  0.3078  0.5107  7 Er 2.77-2.97
S  0.0425  0.9575  0.1130  6 Er 2.69-2.83
S  0.0596  0.9404  0.8928  6 Er 2.68-2.82
S  0.2156  0.7844  0.3232  6 Er 2.70-2.72
S  0.2329  0.7671  0.6811  6 Er 2.73-2.78
S  0.4888  0.5112  0.2504  5 Er 2.73-2.85
S  0.5112  0.4888  0.7504  5 Er 2.73-2.85
S  0.7671  0.2329  0.1811  6 Er 2.73-2.78
S  0.7844  0.2156  0.8232  6 Er 2.70-2.72
S  0.9404  0.0596  0.3928  6 Er 2.68-2.82
S  0.9575  0.0425  0.6130  6 Er 2.69-2.83

=====

Computed, not measured: a relaxed structure of K5ZnCl8 at the PBE-GGA level of DFT.

Computed properties:
N(E_F), states/eV/cell: 13.7
Energy relative to the elements, uncorrected, eV per atom: -1.54
SG: No. 82
V, Å³/cell: 446
Magnetization, μB per formula unit: 1.23

Cell: 8.3785 8.3785 8.3785 Å, 113.55 113.55 101.59°
Last column: nearest neighbours and their distance in Å.
Element x y z (fractional)
K  0.0000  0.0000  0.0000  4 Cl 3.08
K  0.1144  0.5190  0.8674  6 Cl 3.09-3.34
K  0.4810  0.3484  0.5954  6 Cl 3.09-3.34
K  0.6516  0.2470  0.1326  6 Cl 3.09-3.34
K  0.7530  0.8856  0.4046  6 Cl 3.09-3.34
Zn  0.2500  0.7500  0.5000  4 Cl 2.33
Cl  0.0092  0.2159  0.4021  5 K 3.08-3.34
Cl  0.2747  0.0576  0.6882  1 Zn 2.33
Cl  0.3694  0.5866  0.3118  1 Zn 2.33
Cl  0.3929  0.9908  0.2067  5 K 3.08-3.34
Cl  0.4134  0.7253  0.7828  1 Zn 2.33
Cl  0.7841  0.1862  0.7933  5 K 3.08-3.34
Cl  0.8138  0.6071  0.5979  5 K 3.08-3.34
Cl  0.9424  0.6306  0.2172  1 Zn 2.33

=====

Computed, not measured: a relaxed structure of Sr4Li3Pd2 at the PBE-GGA level of DFT.

Computed properties:
N(E_F), states/eV/cell: 5.8
Formation energy, eV per atom: -0.28
SG: No. 12
V, Å³/cell: 273
Magnetization, μB per formula unit: 0.00

Cell: 8.9750 8.9750 7.2644 Å, 107.41 107.41 29.37°
Last column: nearest neighbours and their distance in Å.
Element x y z (fractional)
Sr  0.0660  0.0660  0.3351  2 Pd 3.11-3.16, 2 Li 3.27
Sr  0.2694  0.2694  0.7995  3 Pd 3.25, 1 Li 3.39
Sr  0.7306  0.7306  0.2005  3 Pd 3.25, 1 Li 3.39
Sr  0.9340  0.9340  0.6649  2 Pd 3.11-3.16, 2 Li 3.27
Li  0.4004  0.4004  0.2560  2 Pd 2.68, 1 Li 2.91
Li  0.5000  0.5000  0.0000  2 Li 2.91, 4 Pd 3.08
Li  0.5996  0.5996  0.7440  2 Pd 2.68, 1 Li 2.91
Pd  0.1104  0.1104  0.9449  2 Li 2.68
Pd  0.8896  0.8896  0.0551  2 Li 2.68

=====

Computed, not measured: a relaxed structure of Pa2CrS6 at the PBE-GGA level of DFT.

Computed properties:
N(E_F), states/eV/cell: 5.7
Energy relative to the elements, uncorrected, eV per atom: -1.38
SG: No. 14
V, Å³/cell: 358
Magnetization, μB per formula unit: 1.86

Cell: 6.0017 7.0035 10.4175 Å, 90.00 125.15 90.00°
Last column: nearest neighbours and their distance in Å.
Element x y z (fractional)
Pa  0.2045  0.1259  0.2523  8 S 2.63-2.94
Pa  0.2045  0.3741  0.7523  8 S 2.63-2.94
Pa  0.7955  0.6259  0.2477  8 S 2.63-2.94
Pa  0.7955  0.8741  0.7477  8 S 2.63-2.94
Cr  0.5000  0.0000  0.0000  6 S 2.36-2.39
Cr  0.5000  0.5000  0.5000  6 S 2.36-2.39
S  0.1082  0.1701  0.9434  1 Cr 2.39
S  0.1082  0.3299  0.4434  1 Cr 2.39
S  0.2924  0.6921  0.9419  1 Cr 2.39
S  0.2924  0.8079  0.4419  1 Cr 2.39
S  0.3742  0.0320  0.7407  1 Cr 2.36, 1 Pa 2.63
S  0.3742  0.4680  0.2407  1 Cr 2.36, 1 Pa 2.63
S  0.6258  0.5320  0.7593  1 Cr 2.36, 1 Pa 2.63
S  0.6258  0.9680  0.2593  1 Cr 2.36, 1 Pa 2.63
S  0.7076  0.1921  0.5581  1 Cr 2.39
S  0.7076  0.3079  0.0581  1 Cr 2.39
S  0.8918  0.6701  0.5566  1 Cr 2.39
S  0.8918  0.8299  0.0566  1 Cr 2.39

=====

Computed, not measured: a relaxed structure of GaPb3 at the PBE-GGA level of DFT.

Computed properties:
N(E_F), states/eV/cell: 1.1
Formation energy, eV per atom: 0.03
SG: No. 123
V, Å³/cell: 114
Magnetization, μB per formula unit: 0.00

Cell: 3.5155 3.5155 9.2600 Å, 90.00 90.00 90.00°
Last column: nearest neighbours and their distance in Å.
Element x y z (fractional)
Ga  0.0000  0.0000  0.0000  8 Pb 3.25, 4 Ga 3.52
Pb  0.0000  0.0000  0.5000  12 Pb 3.52-3.56
Pb  0.5000  0.5000  0.2255  4 Ga 3.25, 8 Pb 3.52-3.56
Pb  0.5000  0.5000  0.7745  4 Ga 3.25, 8 Pb 3.52-3.56

=====

Computed, not measured: a relaxed structure of Pu2InPb at the PBE-GGA level of DFT.

Computed properties:
N(E_F), states/eV/cell: 18.1
Formation energy, eV per atom: -0.11
SG: No. 123
V, Å³/cell: 109
Magnetization, μB per formula unit: 11.50

Cell: 4.1761 4.1761 6.2310 Å, 90.00 90.00 90.00°
Last column: nearest neighbours and their distance in Å.
Element x y z (fractional)
Pu  0.0000  0.0000  0.2487  2 Pu 3.10-3.13, 4 Pb 3.33, 4 In 3.34
Pu  0.0000  0.0000  0.7513  2 Pu 3.10-3.13, 4 Pb 3.33, 4 In 3.34
In  0.5000  0.5000  0.5000  2 Pb 3.12, 8 Pu 3.34
Pb  0.5000  0.5000  0.0000  2 In 3.12, 8 Pu 3.33

=====

no.,mass density (Mg/m³)
1,8.88
2,2.03
3,3.55
4,6.55
5,10.03
6,12.38